(1)
Compound: Ni2SbOsPt
Source: Alexandria via LeMat-Bulk
Functional: PBE-GGA
Structure: optimized geometry

Geometry as POSCAR:
```
Ni2SbOsPt
1.0
-0.920 3.018 3.210
3.021 -2.407 3.129
3.454 2.530 -1.389
Sb Os Pt Ni
1 1 1 2
direct
0.000 0.500 0.000
0.000 0.000 0.000
0.500 0.500 0.500
0.000 0.000 0.500
0.500 0.000 0.000
```

Output
* symmetry: P4/mmm, No. 123
* density of states at the Fermi level: 1.57 states/eV/atom
* density: 10.299 g cm⁻³
* E_form (uncorrected): 1228 meV per atom



(2)
Compound: TcNiOsPt2
Source: Alexandria via LeMat-Bulk
Functional: PBE-GGA
Structure: optimized geometry

Geometry as POSCAR:
```
TcNiOsPt2
1.0
-1.831 -3.544 -2.551
3.938 -0.922 -1.545
0.722 -2.973 3.613
Ni Os Tc Pt
1 1 1 2
direct
0.000 0.500 0.000
0.500 0.500 0.500
0.000 0.000 0.000
0.000 0.000 0.500
0.500 0.000 0.000
```

Output
* calculated formation energy: 1.921 eV/atom
* symmetry: P4/mmm, No. 123
* ΔE to the lowest computed polymorph: 87 meV per atom
* density of states at the Fermi level: 1.41 states/eV/atom
* density: 12.610 g cm⁻³



(3)
Compound: TcNiOsPt2
Source: Alexandria via LeMat-Bulk
Functional: PBE-GGA
Structure: optimized geometry

Geometry as POSCAR:
```
TcNiOsPt2
1.0
4.786 0.000 0.000
0.000 4.595 0.000
0.000 0.000 4.786
Ni Os Tc Pt
1 1 1 2
direct
0.500 0.500 0.500
0.000 0.500 0.000
0.000 0.000 0.000
0.000 0.000 0.500
0.500 0.000 0.000
```

Output
* calculated formation energy: 1.834 eV/atom
* symmetry: P4/mmm, No. 123
* ΔE to the lowest computed polymorph: 0 meV per atom
* density of states at the Fermi level: 1.71 states/eV/atom
* density: 11.630 g cm⁻³



(4)
Compound: VNiOsPt2
Source: Alexandria via LeMat-Bulk
Functional: PBE-GGA
Structure: optimized geometry

Geometry as POSCAR:
```
VNiOsPt2
1.0
-1.491 4.325 0.630
-3.043 -1.456 2.797
2.970 0.514 3.499
Ni Os Pt V
1 1 2 1
direct
0.500 0.500 0.500
0.000 0.500 0.000
0.000 0.000 0.500
0.500 0.000 0.000
0.000 0.000 0.000
```

Output
* calculated formation energy: 1.320 eV/atom
* symmetry: P4/mmm, No. 123
* density of states at the Fermi level: 1.76 states/eV/atom
* density: 12.257 g cm⁻³



(5)
Compound: VNiOsPt
Source: Alexandria via LeMat-Bulk
Functional: PBE-GGA
Structure: optimized geometry

Geometry as POSCAR:
```
VNiOsPt
1.0
4.249 0.000 0.000
2.124 3.679 0.000
2.124 1.226 3.469
Ni Os Pt V
1 1 1 1
direct
0.500 0.500 0.500
0.750 0.750 0.750
0.250 0.250 0.250
0.000 0.000 0.000
```

Output
* calculated formation energy: -0.111 eV/atom
* symmetry: F-43m, No. 216
* density of states at the Fermi level: 1.14 states/eV/atom
* density: 15.156 g cm⁻³



(6)
Compound: Pu2NiOs3
Source: Alexandria via LeMat-Bulk
Functional: PBE-GGA
Structure: optimized geometry

Geometry as POSCAR:
```
Pu2NiOs3
1.0
-3.592 -1.295 -3.645
4.610 -2.565 0.180
-0.852 -1.165 5.080
Pu Ni Os
2 1 3
direct
0.753 0.377 0.130
0.247 0.623 0.870
0.000 0.000 0.000
0.500 0.500 0.500
0.000 0.000 0.500
0.500 0.000 0.500
```

Output
* calculated formation energy: -0.146 eV/atom
* symmetry: C2/m, No. 12
* density of states at the Fermi level: 2.44 states/eV/atom
* density: 17.817 g cm⁻³



(7)
Compound: PuNi4Os
Source: Alexandria via LeMat-Bulk
Functional: PBE-GGA
Structure: optimized geometry

Geometry as POSCAR:
```
PuNi4Os
1.0
4.857 0.000 0.000
2.428 4.206 0.000
2.428 1.402 3.965
Ni Os Pu
4 1 1
direct
0.624 0.624 0.128
0.624 0.128 0.624
0.624 0.624 0.624
0.128 0.624 0.624
0.250 0.250 0.250
0.000 0.000 0.000
```

Output
* calculated formation energy: -0.004 eV/atom
* symmetry: F-43m, No. 216
* density of states at the Fermi level: 2.14 states/eV/atom
* density: 13.715 g cm⁻³



(8)
Compound: Pu2NiOs
Source: Alexandria via LeMat-Bulk
Functional: PBE-GGA
Structure: optimized geometry

Geometry as POSCAR:
```
Pu2NiOs
1.0
-3.025 -0.534 -1.130
1.238 -0.879 -2.899
0.370 -6.768 2.210
Ni Os Pu
1 1 2
direct
0.500 0.500 0.000
0.500 0.500 0.500
0.000 0.000 0.752
0.000 0.000 0.248
```

Output
* calculated formation energy: -0.025 eV/atom
* symmetry: P4/mmm, No. 123
* density of states at the Fermi level: 3.13 states/eV/atom
* density: 16.026 g cm⁻³



(9)
Compound: PuNiOs2
Source: Alexandria via LeMat-Bulk
Functional: PBE-GGA
Structure: optimized geometry

Geometry as POSCAR:
```
PuNiOs2
1.0
3.838 0.000 0.000
0.000 4.024 0.000
0.000 0.000 4.024
Ni Os Pu
1 2 1
direct
0.500 0.500 0.500
0.000 0.000 0.500
0.000 0.500 0.000
0.500 0.000 0.000
```

Output
* calculated formation energy: 0.111 eV/atom
* symmetry: P4/mmm, No. 123
* density of states at the Fermi level: 2.06 states/eV/atom
* density: 18.248 g cm⁻³



(10)
Compound: Pu2Si6NiOs
Source: Alexandria via LeMat-Bulk
Functional: PBE-GGA
Structure: optimized geometry

Geometry as POSCAR:
```
Pu2Si6NiOs
1.0
5.820 0.000 0.000
2.910 5.040 0.000
2.910 1.680 11.979
Pu Si Ni Os
4 12 2 2
direct
0.874 0.874 0.379
0.126 0.126 0.621
0.721 0.721 0.837
0.279 0.279 0.163
0.932 0.339 0.390
0.339 0.932 0.390
0.339 0.339 0.390
0.068 0.661 0.610
0.661 0.068 0.610
0.661 0.661 0.610
0.777 0.189 0.844
0.189 0.777 0.844
0.189 0.189 0.844
0.223 0.811 0.156
0.811 0.223 0.156
0.811 0.811 0.156
0.000 0.000 0.000
0.500 0.500 0.500
0.576 0.576 0.271
0.424 0.424 0.729
```

Output
* symmetry: R-3m, No. 166
* density of states at the Fermi level: 0.85 states/eV/atom
* density: 8.559 g cm⁻³
* E_form (uncorrected): -350 meV per atom



(11)
Compound: PuTaNiOs
Source: Alexandria via LeMat-Bulk
Functional: PBE-GGA
Structure: optimized geometry

Geometry as POSCAR:
```
PuTaNiOs
1.0
4.603 0.000 0.000
2.302 3.986 0.000
2.302 1.329 3.758
Ni Ta Os Pu
1 1 1 1
direct
0.250 0.250 0.250
0.000 0.000 0.000
0.750 0.750 0.750
0.500 0.500 0.500
```

Output
* calculated formation energy: 0.042 eV/atom
* symmetry: F-43m, No. 216
* density of states at the Fermi level: 2.24 states/eV/atom
* density: 16.225 g cm⁻³



(12)
Compound: TbPuNiOs
Source: Alexandria via LeMat-Bulk
Functional: PBE-GGA
Structure: optimized geometry

Geometry as POSCAR:
```
TbPuNiOs
1.0
4.796 0.000 0.000
2.398 4.154 0.000
2.398 1.385 3.916
Ni Tb Os Pu
1 1 1 1
direct
0.500 0.500 0.500
0.750 0.750 0.750
0.000 0.000 0.000
0.250 0.250 0.250
```

Output
* calculated formation energy: -0.117 eV/atom
* symmetry: F-43m, No. 216
* density of states at the Fermi level: 2.16 states/eV/atom
* density: 13.872 g cm⁻³